Record 1
Entry from the Alexandria database: crystalline K3YHo3Se8 at its relaxed geometry (GGA-PBE).

Properties
space-group type = R-3m
formation energy without anion corrections = -1.681 eV per atom

a = 8.2726 Å, b = 8.2765 Å, c = 9.1958 Å
α = 116.78°, β = 90.00°, γ = 119.98°
With the nearest neighbours (Å) after each atom.
Fractional coordinates of all 15 atoms:
K: 0.0000 0.0000 0.0000  6 Se 3.33-3.35
K: 0.0000 0.5000 0.0000  6 Se 3.33-3.35
K: 0.5000 0.5000 0.0000  6 Se 3.33-3.35
Y: 0.0000 0.0000 0.5000  6 Se 2.88
Ho: 0.5000 0.0000 0.5000  6 Se 2.86-2.88
Ho: 0.5000 0.5000 0.5000  6 Se 2.86-2.88
Ho: 0.0000 0.5000 0.5000  6 Se 2.86-2.88
Se: 0.2652 0.5304 0.2957  3 Ho 2.88
Se: 0.7348 0.4696 0.7043  3 Ho 2.88
Se: 0.7647 0.5294 0.2976  2 Ho 2.86, 1 Y 2.88
Se: 0.2353 0.4706 0.7024  2 Ho 2.86, 1 Y 2.88
Se: 0.7647 0.0328 0.2976  2 Ho 2.86, 1 Y 2.88
Se: 0.2353 0.9672 0.7024  2 Ho 2.86, 1 Y 2.88
Se: 0.2681 0.0328 0.2976  2 Ho 2.86, 1 Y 2.88
Se: 0.7319 0.9672 0.7024  2 Ho 2.86, 1 Y 2.88

***

Record 2
Entry from the Alexandria database: crystalline YCdRu2 at its relaxed geometry (GGA-PBE).

Properties
energy relative to the elements = 84.6 meV per atom
space-group type = P4/mmm

a = 3.8265 Å, b = 4.3780 Å, c = 4.3780 Å
α = 90.00°, β = 90.00°, γ = 90.00°
With the nearest neighbours (Å) after each atom.
Fractional coordinates of all 4 atoms:
Cd: 0.5000 0.0000 0.5000  8 Ru 2.91, 4 Y 3.10
Ru: 0.0000 0.0000 0.0000  4 Cd 2.91, 4 Y 2.91, 4 Ru 3.10
Ru: 0.0000 0.5000 0.5000  4 Cd 2.91, 4 Y 2.91, 4 Ru 3.10
Y: 0.5000 0.5000 0.0000  8 Ru 2.91, 4 Cd 3.10

***

Record 3
Entry from the Alexandria database: crystalline RuS at its relaxed geometry (GGA-PBE).

Properties
space-group type = I-4m2
formation energy without anion corrections = -0.086 eV per atom

a = 2.9872 Å, b = 2.9872 Å, c = 7.0112 Å
α = 90.00°, β = 90.00°, γ = 90.00°
With the nearest neighbours (Å) after each atom.
Fractional coordinates of all 4 atoms:
Ru: 0.0000 0.0000 0.5000  4 S 2.30
Ru: 0.5000 0.5000 0.0000  4 S 2.30
S: 0.0000 0.5000 0.7500  4 Ru 2.30
S: 0.5000 0.0000 0.2500  4 Ru 2.30

***

Record 4
Entry from the Alexandria database: crystalline Al4MoCl at its relaxed geometry (GGA-PBE).

Properties
space-group type = F-43m
formation energy without anion corrections = 0.287 eV per atom

a = 5.2398 Å, b = 5.2398 Å, c = 5.2398 Å
α = 60.00°, β = 60.00°, γ = 60.00°
With the nearest neighbours (Å) after each atom.
Fractional coordinates of all 6 atoms:
Al: 0.6255 0.6255 0.1235  6 Al 2.61-2.63
Al: 0.6255 0.1235 0.6255  6 Al 2.61-2.63
Al: 0.6255 0.6255 0.6255  6 Al 2.61-2.63
Al: 0.1235 0.6255 0.6255  6 Al 2.61-2.63
Mo: 0.0000 0.0000 0.0000  12 Al 3.07, 4 Cl 3.21
Cl: 0.2500 0.2500 0.2500  12 Al 3.07, 4 Mo 3.21

***

Record 5
Entry from the Alexandria database: crystalline K3NbPb2O6 at its relaxed geometry (GGA-PBE).

Properties
space-group type = P-3m1
formation energy without anion corrections = -1.733 eV per atom

a = 6.0560 Å, b = 6.0560 Å, c = 7.0710 Å
α = 90.00°, β = 90.00°, γ = 120.00°
With the nearest neighbours (Å) after each atom.
Fractional coordinates of all 12 atoms:
K: 0.3333 0.6667 0.6350  9 O 2.84-3.04
K: 0.6667 0.3333 0.3650  9 O 2.84-3.04
K: 0.0000 0.0000 0.0000  6 O 2.86
Nb: 0.0000 0.0000 0.5000  6 O 2.03
Pb: 0.6667 0.3333 0.8332  3 O 2.19
Pb: 0.3333 0.6667 0.1668  3 O 2.19
O: 0.6868 0.8434 0.3311  1 Nb 2.03, 1 Pb 2.19
O: 0.1566 0.3132 0.3311  1 Nb 2.03, 1 Pb 2.19
O: 0.1566 0.8434 0.3311  1 Nb 2.03, 1 Pb 2.19
O: 0.8434 0.6868 0.6689  1 Nb 2.03, 1 Pb 2.19
O: 0.3132 0.1566 0.6689  1 Nb 2.03, 1 Pb 2.19
O: 0.8434 0.1566 0.6689  1 Nb 2.03, 1 Pb 2.19

***

Record 6
Entry from the Alexandria database: crystalline LiNd5Te4 at its relaxed geometry (GGA-PBE).

Properties
space-group type = C2/m
formation energy without anion corrections = -0.954 eV per atom

a = 4.2888 Å, b = 8.5773 Å, c = 9.5751 Å
α = 101.50°, β = 102.94°, γ = 90.00°
With the nearest neighbours (Å) after each atom.
Fractional coordinates of all 10 atoms:
Li: 0.5000 0.0000 0.0000  6 Te 2.92-2.94
Nd: 0.8192 0.6435 0.6384  3 Te 3.19-3.23
Nd: 0.8309 0.1875 0.6618  4 Te 3.14-3.19
Nd: 0.1691 0.8125 0.3382  4 Te 3.14-3.19
Nd: 0.5000 0.5000 0.0000  4 Te 3.13
Nd: 0.1808 0.3565 0.3616  3 Te 3.19-3.23
Te: 0.3401 0.9250 0.6802  1 Li 2.92, 5 Nd 3.14-3.19
Te: 0.9948 0.7634 0.9896  2 Li 2.94, 4 Nd 3.13-3.23
Te: 0.6599 0.0750 0.3198  1 Li 2.92, 5 Nd 3.14-3.19
Te: 0.0052 0.2366 0.0104  2 Li 2.94, 4 Nd 3.13-3.23

***

no.,final energy (eV/atom),V (Å³/atom)
1,-5.106,31.054
2,-6.398,18.335
3,-6.787,15.641
4,-4.321,16.954
5,-5.944,18.716
6,-4.786,33.602